(1)
Below is a geometry-optimized Nd2B2Rh5 structure, with properties calculated at the PBE level.

Cell and atoms, written as POSCAR:
```
Nd2B2Rh5
1.0
4.198 0.000 0.000
0.000 4.198 0.000
0.000 0.000 8.455
Nd B Rh
2 2 5
direct
0.000 0.000 0.000
0.000 0.000 0.500
0.500 0.500 0.234
0.500 0.500 0.766
0.000 0.500 0.250
0.000 0.500 0.750
0.500 0.000 0.250
0.500 0.000 0.750
0.500 0.500 0.500
```

total magnetic moment = 0.0 Bohr magnetons per cell
calculated total energy = -7.231 eV per atom
formation energy = -58.2 kJ per mole of atoms

***

(2)
Below is a geometry-optimized TbPr2Nd2Sm2 structure, with properties calculated at the PBE level.

Cell and atoms, written as POSCAR:
```
TbPr2Nd2Sm2
1.0
5.776 -2.587 0.000
5.776 2.587 0.000
-1.153 0.000 8.121
Tb Pr Nd Sm
1 2 2 2
direct
0.000 0.000 0.000
0.286 0.286 0.858
0.714 0.714 0.142
0.142 0.142 0.427
0.858 0.858 0.573
0.429 0.429 0.286
0.571 0.571 0.714
```

total magnetic moment = 0.0 Bohr magnetons per cell
calculated total energy = -4.724 eV per atom
formation energy = 1.3 kJ per mole of atoms

***

(3)
Below is a geometry-optimized PuNbGe2 structure, with properties calculated at the PBE level.

Cell and atoms, written as POSCAR:
```
PuNbGe2
1.0
3.509 0.000 0.000
0.000 3.509 0.000
0.000 0.000 6.288
Pu Nb Ge
1 1 2
direct
0.000 0.000 0.000
0.000 0.000 0.500
0.500 0.500 0.292
0.500 0.500 0.708
```

total magnetic moment = 5.6 Bohr magnetons per cell
calculated total energy = -8.743 eV per atom
formation energy = -32.2 kJ per mole of atoms
polymorph energy (0 for the lowest one) = 0 meV/atom

***

(4)
Below is a geometry-optimized TbPm4Y2 structure, with properties calculated at the PBE level.

Cell and atoms, written as POSCAR:
```
TbPm4Y2
1.0
-3.443 5.708 6.110
3.443 -5.708 6.110
3.443 5.708 -6.110
Tb Pm Y
2 8 4
direct
0.500 0.000 0.000
0.500 0.500 0.500
0.151 0.146 0.005
0.241 0.211 0.469
0.241 0.772 0.031
0.359 0.854 0.505
0.641 0.146 0.495
0.759 0.228 0.969
0.759 0.789 0.531
0.849 0.854 0.995
0.000 0.500 0.500
0.032 0.282 0.750
0.500 0.500 0.000
0.968 0.718 0.250
```

total magnetic moment = 0.0 Bohr magnetons per cell
calculated total energy = -4.975 eV per atom
formation energy = 24.0 kJ per mole of atoms
polymorph energy (0 for the lowest one) = 95 meV/atom

***

(5)
Below is a geometry-optimized CoTc2Br structure, with properties calculated at the PBE level.

Cell and atoms, written as POSCAR:
```
CoTc2Br
1.0
3.675 0.000 0.000
0.000 3.675 0.000
0.000 0.000 4.380
Co Tc Br
1 2 1
direct
0.000 0.000 0.000
0.000 0.500 0.500
0.500 0.000 0.500
0.500 0.500 0.000
```

total magnetic moment = 0.0 Bohr magnetons per cell
calculated total energy = -6.264 eV per atom
polymorph energy (0 for the lowest one) = 660 meV/atom

***

(6)
Below is a geometry-optimized CaCoPAu structure, with properties calculated at the PBE level.

Cell and atoms, written as POSCAR:
```
CaCoPAu
1.0
3.827 0.000 0.000
0.000 3.827 0.000
0.000 0.000 10.089
Ca Co P Au
2 2 2 2
direct
0.250 0.250 0.249
0.750 0.750 0.751
0.250 0.750 0.000
0.750 0.250 0.000
0.250 0.250 0.884
0.750 0.750 0.116
0.250 0.750 0.500
0.750 0.250 0.500
```

total magnetic moment = 1.1 Bohr magnetons per cell
calculated total energy = -5.193 eV per atom
formation energy = -71.8 kJ per mole of atoms

***

(7)
Below is a geometry-optimized ScBe3Bi structure, with properties calculated at the PBE level.

Cell and atoms, written as POSCAR:
```
ScBe3Bi
1.0
4.733 0.000 0.000
0.000 4.733 0.000
0.000 0.000 4.733
Sc Be Bi
1 3 1
direct
0.000 0.000 0.000
0.000 0.500 0.500
0.500 0.000 0.500
0.500 0.500 0.000
0.500 0.500 0.500
```

total magnetic moment = 0.0 Bohr magnetons per cell
calculated total energy = -3.001 eV per atom
formation energy = 123.3 kJ per mole of atoms
polymorph energy (0 for the lowest one) = 0 meV/atom

***

(8)
Below is a geometry-optimized PuHfIrPd structure, with properties calculated at the PBE level.

Cell and atoms, written as POSCAR:
```
PuHfIrPd
1.0
0.000 3.386 3.386
3.386 0.000 3.386
3.386 3.386 0.000
Pu Hf Ir Pd
1 1 1 1
direct
0.000 0.000 0.000
0.500 0.500 0.500
0.250 0.250 0.250
0.750 0.750 0.750
```

total magnetic moment = 5.5 Bohr magnetons per cell
calculated total energy = -10.115 eV per atom
formation energy = -51.1 kJ per mole of atoms

***

(9)
Below is a geometry-optimized PrGa4Ni structure, with properties calculated at the PBE level.

Cell and atoms, written as POSCAR:
```
PrGa4Ni
1.0
-2.505 2.505 10.183
2.505 -2.505 10.183
2.505 2.505 -10.183
Pr Ga Ni
2 8 2
direct
0.375 0.625 0.750
0.625 0.375 0.250
0.221 0.225 0.504
0.221 0.717 0.996
0.225 0.221 0.004
0.283 0.779 0.504
0.717 0.221 0.496
0.775 0.779 0.996
0.779 0.283 0.004
0.779 0.775 0.496
0.125 0.875 0.250
0.875 0.125 0.750
```

total magnetic moment = 0.0 Bohr magnetons per cell
calculated total energy = -3.941 eV per atom
formation energy = -15.7 kJ per mole of atoms

***

(10)
Below is a geometry-optimized Ac5Sn3Ge3 structure, with properties calculated at the PBE level.

Cell and atoms, written as POSCAR:
```
Ac5Sn3Ge3
1.0
10.301 0.000 0.000
-5.151 8.921 0.000
0.000 0.000 4.307
Ac Sn Ge
5 3 3
direct
0.000 0.769 0.000
0.231 0.231 0.000
0.333 0.667 0.000
0.667 0.333 0.000
0.769 0.000 0.000
0.000 0.522 0.500
0.478 0.478 0.500
0.522 0.000 0.500
0.000 0.358 0.000
0.358 0.000 0.000
0.642 0.642 0.000
```

total magnetic moment = 0.0 Bohr magnetons per cell
calculated total energy = -4.608 eV per atom
formation energy = -37.6 kJ per mole of atoms

***

(11)
Below is a geometry-optimized Pm6MgTl2 structure, with properties calculated at the PBE level.

Cell and atoms, written as POSCAR:
```
Pm6MgTl2
1.0
8.163 -3.861 0.000
8.163 3.861 0.000
-1.421 0.000 5.036
Pm Mg Tl
6 1 2
direct
0.083 0.583 0.331
0.250 0.750 0.000
0.417 0.917 0.669
0.583 0.083 0.331
0.750 0.250 0.000
0.917 0.417 0.669
0.000 0.000 0.500
0.334 0.334 0.832
0.666 0.666 0.168
```

total magnetic moment = 0.0 Bohr magnetons per cell
calculated total energy = -3.777 eV per atom
formation energy = 9.0 kJ per mole of atoms

***

(12)
Below is a geometry-optimized Mg2ScTl structure, with properties calculated at the PBE level.

Cell and atoms, written as POSCAR:
```
Mg2ScTl
1.0
3.261 0.000 0.000
0.000 4.709 0.000
-1.589 0.000 6.114
Mg Sc Tl
2 1 1
direct
0.000 0.000 0.000
0.392 0.500 0.788
0.652 0.500 0.298
0.251 0.000 0.498
```

total magnetic moment = 0.0 Bohr magnetons per cell
calculated total energy = -3.072 eV per atom
formation energy = -9.7 kJ per mole of atoms
polymorph energy (0 for the lowest one) = 83 meV/atom

***

- Number 10 is which compound?
  Ac5Sn3Ge3